1.
Below is an optimized crystal structure of Ca2PmYSe4, with properties calculated at the PBE level.

Summary:
- Volume: 25.61 Å³/atom
- E: -5.537 eV/atom
- ΔE_f (raw): -1.893 eV/atom
- ρ: 5.106 Mg/m³

a b c (Å): 7.171 4.139 7.303
angles (deg): 90.00 109.10 90.00
Space group P2/m (No. 10)
Symmetry-distinct sites (fractional):
Ca  0.000  0.000  0.000 [1 per cell]
Ca  0.500  0.500  0.000 [1 per cell]
Pm  0.000  0.500  0.500 [1 per cell]
Y  0.500  0.000  0.500 [1 per cell]
Se  0.255  0.500  0.251 [2 per cell]
Se  0.256  0.000  0.752 [2 per cell]

=====

2.
Below is an optimized crystal structure of Ac3LaO, with properties calculated at the PBE level.

Summary:
- Volume: 32.27 Å³/atom
- E: -5.499 eV/atom
- ΔE_f (raw): -1.057 eV/atom
- ρ: 8.602 Mg/m³

a b c (Å): 5.444 5.444 5.444
angles (deg): 90.00 90.00 90.00
Space group Pm-3m (No. 221)
Symmetry-distinct sites (fractional):
Ac  0.000  0.000  0.500 [3 per cell]
La  0.500  0.500  0.500 [1 per cell]
O  0.000  0.000  0.000 [1 per cell]

=====

3.
Below is an optimized crystal structure of CaPBr2, with properties calculated at the PBE level.

Summary:
- Volume: 31.50 Å³/atom
- E: -3.356 eV/atom
- ΔE_f (raw): -0.667 eV/atom
- ρ: 3.042 Mg/m³

a b c (Å): 4.166 4.166 7.261
angles (deg): 90.00 90.00 90.00
Space group P4mm (No. 99)
Symmetry-distinct sites (fractional):
Ca  0.000  0.000  0.000 [1 per cell]
P  0.500  0.500  0.015 [1 per cell]
Br  0.000  0.000  0.369 [1 per cell]
Br  0.500  0.500  0.699 [1 per cell]